Record 1
VASP calculation (PBE) on Zr2AgS2 after structural relaxation.

Unit cell a=4.4103 b=4.4103 c=6.4623 alpha=70.05 beta=70.05 gamma=90.00
Closest atoms and distances in Å follow each position.
Atoms (fractional coordinates):
Zr 0.3667 0.3667 0.2665  4 S 2.57
Zr 0.6333 0.6333 0.7335  4 S 2.57
S 0.7500 0.2500 0.5000  4 Zr 2.57
S 0.2500 0.7500 0.5000  4 Zr 2.57
Ag 0.0000 0.0000 0.0000  8 Zr 3.46, 8 S 3.59

Calculated values
The total energy comes out at -31.51 eV/f.u. For the formation energy (no corrections), the calculation gives -662 meV/atom.

---

Record 2
VASP calculation (PBE) on ScNi3H after structural relaxation.

Unit cell a=4.7813 b=6.5548 c=7.2613 alpha=90.00 beta=90.00 gamma=90.00
Closest atoms and distances in Å follow each position.
Atoms (fractional coordinates):
Sc 0.0000 0.5000 0.5000  10 Ni 2.56-2.73, 2 H 2.85
Sc 0.5000 0.5000 0.0000  10 Ni 2.56-2.73, 2 H 2.85
Sc 0.0000 0.0000 0.5000  10 Ni 2.56-2.73, 2 H 2.85
Sc 0.5000 0.0000 0.0000  10 Ni 2.56-2.73, 2 H 2.85
H 0.4803 0.7500 0.4402  4 Ni 1.83-1.93
H 0.5197 0.2500 0.5598  4 Ni 1.83-1.93
H 0.0197 0.2500 0.9402  4 Ni 1.83-1.93
H 0.9803 0.7500 0.0598  4 Ni 1.83-1.93
Ni 0.9942 0.0752 0.1543  1 H 1.93
Ni 0.4942 0.0752 0.3457  1 H 1.93
Ni 0.4942 0.4248 0.3457  1 H 1.93
Ni 0.2412 0.7500 0.2440  2 H 1.83
Ni 0.5058 0.5752 0.6543  1 H 1.93
Ni 0.0058 0.5752 0.8457  1 H 1.93
Ni 0.7412 0.7500 0.2560  2 H 1.83
Ni 0.0058 0.9248 0.8457  1 H 1.93
Ni 0.9942 0.4248 0.1543  1 H 1.93
Ni 0.5058 0.9248 0.6543  1 H 1.93
Ni 0.2588 0.2500 0.7440  2 H 1.83
Ni 0.7588 0.2500 0.7560  2 H 1.83

Calculated values
The total energy comes out at -27.81 eV/f.u.

---

Relative energy among the computed polymorphs values, unit meV/atom, following the record order: 201 262.